! Ga2NiO4, optimized geometry, DFT PBE with a Hubbard U; values from VASP
&SYSTEM
  ibrav = 0, nat = 28, ntyp = 3
/
ATOMIC_SPECIES
O 16.00 O.upf
Ni 58.69 Ni.upf
Ga 69.72 Ga.upf
CELL_PARAMETERS angstrom
5.952 0.000 0.001
2.977 9.923 0.072
2.976 0.769 5.100
ATOMIC_POSITIONS crystal
O 0.412 0.198 0.417
O 0.213 0.934 0.660
O 0.918 0.206 0.927
O 0.152 0.427 0.707
O 0.707 0.919 0.698
O 0.473 0.698 0.918
O 0.932 0.691 0.465
O 0.668 0.934 0.206
O 0.692 0.434 0.706
O 0.933 0.691 0.919
O 0.176 0.419 0.197
O 0.957 0.191 0.418
O 0.449 0.706 0.428
O 0.693 0.434 0.160
O 0.412 0.191 0.965
O 0.213 0.927 0.208
Ni 0.488 0.503 0.503
Ni 0.007 0.002 0.003
Ni 0.618 0.122 0.622
Ni 0.137 0.622 0.122
Ga 0.075 0.811 0.564
Ga 0.051 0.310 0.064
Ga 0.550 0.314 0.061
Ga 0.313 0.062 0.312
Ga 0.574 0.815 0.561
Ga 0.049 0.312 0.562
Ga 0.576 0.812 0.063
Ga 0.812 0.562 0.813
! E_tot = -158.70 eV for the cell shown